1.
Entry from Alexandria: an optimized crystal structure of PrNd6Sm2Dy (PBE-GGA).

As for the volume: 1399.7 Å³/cell. The value obtained for the density of states at the Fermi level is 14.6 states/eV/f.u. The formation enthalpy at 0 K comes out at 0.11 eV/atom.

CIF file:
```
data_PrNd6Sm2Dy
_chemical_formula_sum 'Pr4 Nd24 Sm8 Dy4'
_symmetry_space_group_name_H-M 'C 1 2/c 1'
_symmetry_Int_Tables_number 15
_symmetry_space_group_name_Hall '-C 2yc'
_cell_length_a 9.3046
_cell_length_b 15.4156
_cell_length_c 9.8536
_cell_angle_alpha 90.00
_cell_angle_beta 97.97
_cell_angle_gamma 90.00
loop_
_atom_site_label
_atom_site_fract_x
_atom_site_fract_y
_atom_site_fract_z
Pr1 0.0000 0.0225 0.2500
Nd1 0.0652 0.1835 0.9453
Nd2 0.0990 0.3936 0.1191
Nd3 0.2096 0.2228 0.3131
Sm1 0.2484 0.0497 0.5447
Dy1 0.0000 0.4090 0.7500
```

---

2.
Entry from Alexandria: an optimized crystal structure of MgAsP2S (PBE-GGA).

As for the volume: 107.3 Å³/cell. The value obtained for the density of states at the Fermi level is 3.3 states/eV/f.u. The offset from the most stable computed form is 0.000 eV per atom.

CIF file:
```
data_MgAsP2S
_chemical_formula_sum 'Mg1 As1 P2 S1'
_symmetry_space_group_name_H-M 'P 4/m m m'
_symmetry_Int_Tables_number 123
_symmetry_space_group_name_Hall '-P 4 2'
_cell_length_a 4.6839
_cell_length_b 4.6839
_cell_length_c 4.8913
_cell_angle_alpha 90.00
_cell_angle_beta 90.00
_cell_angle_gamma 90.00
loop_
_atom_site_label
_atom_site_fract_x
_atom_site_fract_y
_atom_site_fract_z
Mg1 0.0000 0.0000 0.0000
As1 0.5000 0.5000 0.5000
P1 0.0000 0.5000 0.5000
S1 0.5000 0.5000 0.0000
```

---

3.
Entry from Alexandria: an optimized crystal structure of CsRbCd2Rh (PBE-GGA).

As for the volume: 180.0 Å³/cell. The value obtained for the density of states at the Fermi level is 1.7 states/eV/f.u. The offset from the most stable computed form is 0.000 eV per atom. The formation enthalpy at 0 K comes out at 0.09 eV/atom.

CIF file:
```
data_CsRbCd2Rh
_chemical_formula_sum 'Cs1 Rb1 Cd2 Rh1'
_symmetry_space_group_name_H-M 'P 4/m m m'
_symmetry_Int_Tables_number 123
_symmetry_space_group_name_Hall '-P 4 2'
_cell_length_a 5.4196
_cell_length_b 5.4196
_cell_length_c 6.1269
_cell_angle_alpha 90.00
_cell_angle_beta 90.00
_cell_angle_gamma 90.00
loop_
_atom_site_label
_atom_site_fract_x
_atom_site_fract_y
_atom_site_fract_z
Cs1 0.0000 0.0000 0.0000
Rb1 0.5000 0.5000 0.0000
Cd1 0.0000 0.5000 0.5000
Rh1 0.5000 0.5000 0.5000
```

---

4.
Entry from Alexandria: an optimized crystal structure of Be2RhPb (PBE-GGA).

As for the volume: 63.0 Å³/cell. The value obtained for the density of states at the Fermi level is 1.0 states/eV/f.u. The formation enthalpy at 0 K comes out at 0.05 eV/atom.

CIF file:
```
data_Be2RhPb
_chemical_formula_sum 'Be2 Rh1 Pb1'
_symmetry_space_group_name_H-M 'P 1 m 1'
_symmetry_Int_Tables_number 6
_symmetry_space_group_name_Hall 'P -2y'
_cell_length_a 2.9785
_cell_length_b 3.5746
_cell_length_c 5.9159
_cell_angle_alpha 90.00
_cell_angle_beta 90.11
_cell_angle_gamma 90.00
loop_
_atom_site_label
_atom_site_fract_x
_atom_site_fract_y
_atom_site_fract_z
Be1 0.0000 0.0000 0.0000
Be2 0.0014 0.5000 0.2431
Rh1 0.4998 0.5000 0.9572
Pb1 0.4970 0.0000 0.5515
```

---

5.
Entry from Alexandria: an optimized crystal structure of KCrBi3 (PBE-GGA).

As for the volume: 162.3 Å³/cell. The value obtained for the density of states at the Fermi level is 4.2 states/eV/f.u. The offset from the most stable computed form is 0.000 eV per atom. The formation enthalpy at 0 K comes out at 0.18 eV/atom.

CIF file:
```
data_KCrBi3
_chemical_formula_sum 'K1 Cr1 Bi3'
_symmetry_space_group_name_H-M 'P m -3 m'
_symmetry_Int_Tables_number 221
_symmetry_space_group_name_Hall '-P 4 2 3'
_cell_length_a 5.4552
_cell_length_b 5.4552
_cell_length_c 5.4552
_cell_angle_alpha 90.00
_cell_angle_beta 90.00
_cell_angle_gamma 90.00
loop_
_atom_site_label
_atom_site_fract_x
_atom_site_fract_y
_atom_site_fract_z
K1 0.0000 0.0000 0.0000
Cr1 0.5000 0.5000 0.5000
Bi1 0.0000 0.5000 0.5000
```

---

6.
Entry from Alexandria: an optimized crystal structure of NaCd2Ge3O9 (PBE-GGA).

As for the volume: 413.8 Å³/cell. The value obtained for the total energy is -166.28 eV per cell.

CIF file:
```
data_NaCd2Ge3O9
_chemical_formula_sum 'Na2 Cd4 Ge6 O18'
_symmetry_space_group_name_H-M 'P -1'
_symmetry_Int_Tables_number 2
_symmetry_space_group_name_Hall '-P 1'
_cell_length_a 7.1823
_cell_length_b 7.2690
_cell_length_c 8.1433
_cell_angle_alpha 94.11
_cell_angle_beta 102.55
_cell_angle_gamma 90.16
loop_
_atom_site_label
_atom_site_fract_x
_atom_site_fract_y
_atom_site_fract_z
Na1 0.2411 0.1495 0.4416
Cd1 0.0862 0.6425 0.8531
Cd2 0.4122 0.3670 0.1484
Ge1 0.0924 0.1542 0.7903
Ge2 0.2370 0.6407 0.4603
Ge3 0.4452 0.8518 0.2074
O1 0.0165 0.0598 0.1916
O2 0.0228 0.7722 0.4143
O3 0.1115 0.3389 0.9441
O4 0.2103 0.4375 0.3256
O5 0.2936 0.6078 0.6757
O6 0.3097 0.0816 0.7364
O7 0.3258 0.0600 0.1623
O8 0.3898 0.6704 0.0490
O9 0.4183 0.7885 0.4112
```

---

7.
Entry from Alexandria: an optimized crystal structure of LiLaRu2 (PBE-GGA).

As for the volume: 67.8 Å³/cell. The value obtained for the density of states at the Fermi level is 3.7 states/eV/f.u. The offset from the most stable computed form is 0.209 eV per atom. The formation enthalpy at 0 K comes out at 0.22 eV/atom.

CIF file:
```
data_LiLaRu2
_chemical_formula_sum 'Li1 La1 Ru2'
_symmetry_space_group_name_H-M 'P 1 2/m 1'
_symmetry_Int_Tables_number 10
_symmetry_space_group_name_Hall '-P 2y'
_cell_length_a 2.9876
_cell_length_b 4.5205
_cell_length_c 5.0220
_cell_angle_alpha 90.00
_cell_angle_beta 92.41
_cell_angle_gamma 90.00
loop_
_atom_site_label
_atom_site_fract_x
_atom_site_fract_y
_atom_site_fract_z
Li1 0.0000 0.0000 0.0000
La1 0.5000 0.0000 0.5000
Ru1 0.2381 0.5000 0.7643
```

---

8.
Entry from Alexandria: an optimized crystal structure of CsAcNp2O7 (PBE-GGA).

As for the volume: 212.9 Å³/cell. The value obtained for the total energy is -97.38 eV per cell. The value obtained for the density of states at the Fermi level is 10.5 states/eV/f.u.

CIF file:
```
data_CsAcNp2O7
_chemical_formula_sum 'Cs1 Ac1 Np2 O7'
_symmetry_space_group_name_H-M 'P 4/m m m'
_symmetry_Int_Tables_number 123
_symmetry_space_group_name_Hall '-P 4 2'
_cell_length_a 4.3261
_cell_length_b 4.3261
_cell_length_c 11.3767
_cell_angle_alpha 90.00
_cell_angle_beta 90.00
_cell_angle_gamma 90.00
loop_
_atom_site_label
_atom_site_fract_x
_atom_site_fract_y
_atom_site_fract_z
Cs1 0.0000 0.0000 0.0000
Ac1 0.0000 0.0000 0.5000
Np1 0.5000 0.5000 0.3087
O1 0.0000 0.5000 0.3493
O2 0.5000 0.5000 0.1410
O3 0.5000 0.5000 0.5000
```

---

9.
Entry from Alexandria: an optimized crystal structure of Pm5HoTl3 (PBE-GGA).

As for the volume: 543.7 Å³/cell. The value obtained for the density of states at the Fermi level is 11.6 states/eV/f.u. The formation enthalpy at 0 K comes out at -0.27 eV/atom.

CIF file:
```
data_Pm5HoTl3
_chemical_formula_sum 'Pm10 Ho2 Tl6'
_symmetry_space_group_name_H-M 'P 63/m c m'
_symmetry_Int_Tables_number 193
_symmetry_space_group_name_Hall '-P 6c 2'
_cell_length_a 9.5597
_cell_length_b 9.5597
_cell_length_c 6.8672
_cell_angle_alpha 90.00
_cell_angle_beta 90.00
_cell_angle_gamma 120.00
loop_
_atom_site_label
_atom_site_fract_x
_atom_site_fract_y
_atom_site_fract_z
Pm1 0.0000 0.3378 0.2500
Pm2 0.3333 0.6667 0.0000
Ho1 0.0000 0.0000 0.0000
Tl1 0.0000 0.3261 0.7500
```

---

10.
Entry from Alexandria: an optimized crystal structure of KCaPbBr6 (PBE-GGA).

As for the volume: 710.0 Å³/cell. The value obtained for the total energy is -57.58 eV per cell. The value obtained for the density of states at the Fermi level is 6.5 states/eV/f.u.

CIF file:
```
data_KCaPbBr6
_chemical_formula_sum 'K2 Ca2 Pb2 Br12'
_symmetry_space_group_name_H-M 'P -3 1 c'
_symmetry_Int_Tables_number 163
_symmetry_space_group_name_Hall '-P 3 2c'
_cell_length_a 7.5101
_cell_length_b 7.5101
_cell_length_c 14.5365
_cell_angle_alpha 90.00
_cell_angle_beta 90.00
_cell_angle_gamma 120.00
loop_
_atom_site_label
_atom_site_fract_x
_atom_site_fract_y
_atom_site_fract_z
K1 0.0000 0.0000 0.0000
Ca1 0.3333 0.6667 0.2500
Pb1 0.3333 0.6667 0.7500
Br1 0.0002 0.3704 0.1340
```

---

11.
Entry from Alexandria: an optimized crystal structure of RbS4F (PBE-GGA).

As for the volume: 715.5 Å³/cell. The value obtained for the total energy is -93.64 eV per cell. The value obtained for the density of states at the Fermi level is 0.8 states/eV/f.u.

CIF file:
```
data_RbS4F
_chemical_formula_sum 'Rb4 S16 F4'
_symmetry_space_group_name_H-M 'C 1 2/c 1'
_symmetry_Int_Tables_number 15
_symmetry_space_group_name_Hall '-C 2yc'
_cell_length_a 5.3192
_cell_length_b 34.3714
_cell_length_c 4.2973
_cell_angle_alpha 90.00
_cell_angle_beta 114.40
_cell_angle_gamma 90.00
loop_
_atom_site_label
_atom_site_fract_x
_atom_site_fract_y
_atom_site_fract_z
Rb1 0.0000 0.1321 0.2500
S1 0.1953 0.4737 0.3491
S2 0.2023 0.2752 0.3314
F1 0.0000 0.3609 0.7500
```

---

12.
Entry from Alexandria: an optimized crystal structure of SrV2Au (PBE-GGA).

As for the volume: 384.2 Å³/cell. The value obtained for the density of states at the Fermi level is 5.5 states/eV/f.u. The offset from the most stable computed form is 0.000 eV per atom. The formation enthalpy at 0 K comes out at 0.57 eV/atom.

CIF file:
```
data_SrV2Au
_chemical_formula_sum 'Sr4 V8 Au4'
_symmetry_space_group_name_H-M 'I -4 2 d'
_symmetry_Int_Tables_number 122
_symmetry_space_group_name_Hall 'I -4 2bw'
_cell_length_a 4.3563
_cell_length_b 4.3563
_cell_length_c 20.2472
_cell_angle_alpha 90.00
_cell_angle_beta 90.00
_cell_angle_gamma 90.00
loop_
_atom_site_label
_atom_site_fract_x
_atom_site_fract_y
_atom_site_fract_z
Sr1 0.0000 0.0000 0.0000
V1 0.0191 0.7500 0.6250
Au1 0.0000 0.0000 0.5000
```

---

- Look up the volume of the fifth one.
  162.3 Å³/cell